[1]
Entry from the Alexandria database: MgZr2FeTc after structural relaxation (GGA-PBE).

Properties
calculated formation energy = 613.7 meV per atom
symmetry = P4/mmm

```
MgZr2FeTc
1.0
5.045 0.000 0.000
0.000 4.494 0.000
0.000 0.000 5.045
Zr Tc Fe Mg
2 1 1 1
direct
0.500 0.000 0.000 Zr
0.000 0.000 0.500 Zr
0.000 0.000 0.000 Tc
0.000 0.500 0.000 Fe
0.500 0.500 0.500 Mg
```

---

[2]
Entry from the Alexandria database: MgZr2FeTc after structural relaxation (GGA-PBE).

Properties
calculated formation energy = 1458.7 meV per atom
symmetry = P4/mmm

```
MgZr2FeTc
1.0
4.985 0.000 0.000
0.000 4.115 0.000
0.000 0.000 4.985
Mg Tc Zr Fe
1 1 2 1
direct
0.000 0.000 0.000 Mg
0.500 0.500 0.500 Tc
0.500 0.000 0.000 Zr
0.000 0.000 0.500 Zr
0.000 0.500 0.000 Fe
```

---

[3]
Entry from the Alexandria database: MgFe2Te after structural relaxation (GGA-PBE).

Properties
raw formation energy = 289 meV per atom
symmetry = Fm-3m

```
MgFe2Te
1.0
0.000 3.028 3.028
3.028 0.000 3.028
3.028 3.028 0.000
Fe Mg Te
2 1 1
direct
0.250 0.250 0.250 Fe
0.750 0.750 0.750 Fe
0.000 0.000 0.000 Mg
0.500 0.500 0.500 Te
```

---

[4]
Entry from the Alexandria database: MgFe2Te after structural relaxation (GGA-PBE).

Properties
raw formation energy = 324 meV per atom
symmetry = P4/mmm

```
MgFe2Te
1.0
3.429 0.000 0.000
0.000 3.429 0.000
0.000 0.000 5.672
Mg Fe Te
1 2 1
direct
0.500 0.500 0.250 Mg
0.000 0.000 0.519 Fe
0.000 0.000 0.981 Fe
0.500 0.500 0.750 Te
```

---

[5]
Entry from the Alexandria database: MgFe2Te after structural relaxation (GGA-PBE).

Properties
raw formation energy = 237 meV per atom
symmetry = Cm

```
MgFe2Te
1.0
4.328 -0.016 -0.004
3.026 3.093 -0.004
1.032 0.432 5.584
Te Fe Mg
1 2 1
direct
0.275 0.275 0.175 Te
0.013 0.013 0.943 Fe
0.731 0.731 0.822 Fe
0.481 0.481 0.561 Mg
```

---

[6]
Entry from the Alexandria database: MgFe2Te after structural relaxation (GGA-PBE).

Properties
raw formation energy = 374 meV per atom
symmetry = F-43m

```
MgFe2Te
1.0
-3.502 -2.882 -0.103
-0.636 -2.920 3.413
-3.487 0.564 2.847
Fe Mg Te
2 1 1
direct
0.250 0.250 0.250 Fe
0.000 0.000 0.000 Fe
0.500 0.500 0.500 Mg
0.750 0.750 0.750 Te
```

---

[7]
Entry from the Alexandria database: Mg3FeTe after structural relaxation (GGA-PBE).

Properties
raw formation energy = 491 meV per atom
symmetry = Pm-3m

```
Mg3FeTe
1.0
-3.390 -3.464 0.640
0.338 -1.204 -4.726
3.506 -3.233 1.074
Fe Mg Te
1 3 1
direct
0.000 0.000 0.000 Fe
0.000 0.500 0.000 Mg
0.500 0.000 0.000 Mg
0.000 0.000 0.500 Mg
0.500 0.500 0.500 Te
```

---

[8]
Entry from the Alexandria database: MgFeTe2 after structural relaxation (GGA-PBE).

Properties
raw formation energy = -111 meV per atom
symmetry = R-3m

```
MgFeTe2
1.0
-2.959 2.386 -1.013
-2.198 -0.827 -3.156
-5.849 -2.990 2.407
Te Mg Fe
2 1 1
direct
0.515 0.515 0.455 Te
0.985 0.985 0.045 Te
0.750 0.750 0.750 Mg
0.250 0.250 0.250 Fe
```